# 1
The following is a PBE-GGA calculation of Zn2TeOs after structural relaxation, from Alexandria.

## Properties
Its uncorrected formation energy is 1.9 eV/f.u.

The structure in extended XYZ format:
```
4
Lattice="4.489 -1.665 0.000 4.489 1.665 0.000 -0.962 0.000 4.747" Properties=species:S:1:pos:R:3 pbc="T T T"
Zn 1.914 0.000 0.899
Zn 6.102 0.000 3.848
Te -0.481 0.000 2.374
Os 4.489 0.000 0.000
```

# 2
The following is a PBE-GGA calculation of MgCd2Tc after structural relaxation, from Alexandria.

## Properties
The energy of formation is 0.27 eV per atom.

The structure in extended XYZ format:
```
4
Lattice="2.878 0.000 0.000 0.000 4.402 0.000 0.000 0.000 5.841" Properties=species:S:1:pos:R:3 pbc="T T T"
Mg 0.000 0.000 0.000
Cd 1.439 2.201 1.520
Cd 1.439 2.201 4.321
Tc 0.000 0.000 2.920
```

# 3
The following is a PBE-GGA calculation of ScInAgHg after structural relaxation, from Alexandria.

## Properties
The energy of formation is -0.24 eV per atom.

The structure in extended XYZ format:
```
4
Lattice="0.000 3.468 3.468 3.468 0.000 3.468 3.468 3.468 0.000" Properties=species:S:1:pos:R:3 pbc="T T T"
Sc 0.000 0.000 0.000
In 3.468 3.468 3.468
Ag 5.202 5.202 5.202
Hg 1.734 1.734 1.734
```

# 4
The following is a PBE-GGA calculation of MoIr6W after structural relaxation, from Alexandria.

## Properties
The energy of formation is -0.27 eV per atom.

The structure in extended XYZ format:
```
8
Lattice="5.507 0.000 0.000 0.000 5.507 0.000 0.000 0.000 3.892" Properties=species:S:1:pos:R:3 pbc="T T T"
Mo 0.000 0.000 0.000
Ir 0.000 2.754 0.000
Ir 1.378 1.378 1.946
Ir 1.378 4.130 1.946
Ir 2.754 0.000 0.000
Ir 4.130 1.378 1.946
Ir 4.130 4.130 1.946
W 2.754 2.754 0.000
```

# 5
The following is a PBE-GGA calculation of In4AsBr after structural relaxation, from Alexandria.

## Properties
Its uncorrected formation energy is 0.9 eV/f.u.

The structure in extended XYZ format:
```
6
Lattice="0.000 4.394 4.394 4.394 0.000 4.394 4.394 4.394 0.000" Properties=species:S:1:pos:R:3 pbc="T T T"
In 1.094 1.094 1.094
In 3.300 3.300 1.094
In 3.300 1.094 3.300
In 1.094 3.300 3.300
As 6.592 6.592 6.592
Br 4.394 4.394 4.394
```

# 6
The following is a PBE-GGA calculation of ZnCr after structural relaxation, from Alexandria.

## Properties
The energy of formation is 0.13 eV per atom.

The structure in extended XYZ format:
```
4
Lattice="2.966 0.000 0.000 0.000 2.966 0.000 0.000 0.000 5.963" Properties=species:S:1:pos:R:3 pbc="T T T"
Zn 0.742 0.742 0.788
Zn 2.225 2.225 5.175
Cr 0.742 0.742 3.495
Cr 2.225 2.225 2.468
```

# 7
The following is a PBE-GGA calculation of La5Tb2Pm4 after structural relaxation, from Alexandria.

## Properties
The energy of formation is 0.08 eV per atom.

The structure in extended XYZ format:
```
11
Lattice="9.091 0.000 0.000 0.000 3.577 0.000 -0.931 0.000 11.935" Properties=species:S:1:pos:R:3 pbc="T T T"
La 0.000 0.000 0.000
La 0.363 0.000 3.477
La 1.991 0.000 9.939
La 6.169 0.000 1.996
La 7.797 0.000 8.458
Tb 3.700 0.000 4.353
Tb 4.460 0.000 7.582
Pm 1.444 1.789 6.547
Pm 3.021 1.789 1.298
Pm 5.140 1.789 10.637
Pm 6.716 1.789 5.388
```

# 8
The following is a PBE-GGA calculation of K2Ba6Ir after structural relaxation, from Alexandria.

## Properties
The energy of formation is 0.03 eV per atom.

The structure in extended XYZ format:
```
9
Lattice="4.433 2.559 7.835 -4.433 2.559 7.835 0.000 -5.119 7.835" Properties=species:S:1:pos:R:3 pbc="T T T"
K 0.000 0.000 0.000
K 0.000 0.000 3.937
Ba -2.105 -1.215 7.969
Ba -2.100 -1.212 11.912
Ba 2.105 -1.215 7.969
Ba 0.000 2.430 7.969
Ba 2.100 -1.212 11.912
Ba 0.000 2.425 11.912
Ir 0.000 0.000 9.929
```

# 9
The following is a PBE-GGA calculation of NaTeNO2 after structural relaxation, from Alexandria.

## Properties
Its uncorrected formation energy is -1.7 eV/f.u.

The structure in extended XYZ format:
```
5
Lattice="4.030 0.000 0.000 0.000 4.030 0.000 0.000 0.000 3.906" Properties=species:S:1:pos:R:3 pbc="T T T"
Na 0.000 0.000 0.000
Te 2.015 2.015 1.953
N 2.015 2.015 0.000
O 0.000 2.015 1.953
O 2.015 0.000 1.953
```

# 10
The following is a PBE-GGA calculation of GaSbTe2Au after structural relaxation, from Alexandria.

## Properties
Its uncorrected formation energy is 3.4 eV/f.u.

The structure in extended XYZ format:
```
5
Lattice="5.358 0.000 0.000 0.000 5.358 0.000 0.000 0.000 5.265" Properties=species:S:1:pos:R:3 pbc="T T T"
Ga 0.000 0.000 0.000
Sb 0.000 0.000 2.632
Te 0.000 2.679 0.000
Te 2.679 0.000 0.000
Au 2.679 2.679 2.632
```

# 11
The following is a PBE-GGA calculation of SrCr2P after structural relaxation, from Alexandria.

## Properties
The energy of formation is -0.20 eV per atom.

The structure in extended XYZ format:
```
4
Lattice="2.065 1.192 5.545 -2.065 1.192 5.545 0.000 -2.384 5.545" Properties=species:S:1:pos:R:3 pbc="T T T"
Sr 0.000 0.000 0.000
Cr 0.000 0.000 8.335
Cr 0.000 0.000 13.396
P 0.000 0.000 3.171
```

# 12
The following is a PBE-GGA calculation of SiPtI3 after structural relaxation, from Alexandria.

## Properties
Its uncorrected formation energy is 2.7 eV/f.u.

The structure in extended XYZ format:
```
5
Lattice="5.461 0.000 0.000 0.000 5.461 0.000 0.000 0.000 5.461" Properties=species:S:1:pos:R:3 pbc="T T T"
Si 0.000 0.000 0.000
Pt 2.730 2.730 2.730
I 0.000 2.730 2.730
I 2.730 0.000 2.730
I 2.730 2.730 0.000
```

Q: What is the formula in the fourth record?
A: MoIr6W

Q: Which formula does entry 12 have?
A: SiPtI3